An optimized crystal structure of Cs2CuNiF6. Source: the Alexandria database, functional GGA+U.

Cell lengths 6.126, 6.126, 6.058 Å; angles 59.63, 59.63, 90.00 degrees
Last column: magnetic moment on the atom in μB.
Positions (direct):
Cs 0.750 0.250 0.500  0.00
Cs 0.250 0.750 0.500  0.00
Ni 0.500 0.500 0.000  1.84
Cu 0.000 0.000 0.000  0.73
F 0.224 0.224 0.552  0.08
F 0.776 0.776 0.448  0.08
F 0.266 0.266 0.000  0.05
F 0.734 0.734 0.000  0.05
F 0.734 0.266 0.000  0.05
F 0.266 0.734 0.000  0.05

Properties
As for the space group: I4/mmm, No. 139. The calculated total energy is -4.13 eV per atom.